# PBE LaGa2PdPt, optimized geometry
# - crystal system = tetragonal
# - raw total energy (eV per atom) = -5.38
data_LaGa2PdPt
_cell_length_a 4.399
_cell_length_b 4.399
_cell_length_c 10.281
_cell_angle_alpha 90.00
_cell_angle_beta 90.00
_cell_angle_gamma 90.00
_space_group_name_H-M_alt 'P 4/n m m'
_space_group_IT_number 129
loop_
_space_group_symop_operation_xyz
'x,y,z'
'-x,-y,-z'
'-y+1/2,x,z'
'y+1/2,-x,-z'
'-x+1/2,-y+1/2,z'
'x+1/2,y+1/2,-z'
'y,-x+1/2,z'
'-y,x+1/2,-z'
'x+1/2,-y,-z'
'-x+1/2,y,z'
'-y,-x,-z'
'y,x,z'
'-x,y+1/2,-z'
'x,-y+1/2,z'
'y+1/2,x+1/2,-z'
'-y+1/2,-x+1/2,z'
loop_
_atom_site_label
_atom_site_type_symbol
_atom_site_fract_x
_atom_site_fract_y
_atom_site_fract_z
La1 La 0.250 0.250 0.244
Ga1 Ga 0.250 0.250 0.624
Ga2 Ga 0.250 0.750 0.000
Pd1 Pd 0.250 0.750 0.500
Pt1 Pt 0.250 0.250 0.868

***

# PBE LaGa2PdPt2, optimized geometry
# - crystal system = orthorhombic
# - raw total energy (eV per atom) = -5.61
data_LaGa2PdPt2
_cell_length_a 5.651
_cell_length_b 9.793
_cell_length_c 4.052
_cell_angle_alpha 90.00
_cell_angle_beta 90.00
_cell_angle_gamma 90.00
_space_group_name_H-M_alt 'C m m m'
_space_group_IT_number 65
_space_group_name_Hall '-C 2 2'
loop_
_atom_site_label
_atom_site_type_symbol
_atom_site_fract_x
_atom_site_fract_y
_atom_site_fract_z
La1 La 0.000 0.000 0.000
Ga1 Ga 0.000 0.333 0.000
Pd1 Pd 0.000 0.500 0.500
Pt1 Pt 0.250 0.250 0.500

***

# PBE LaGa2Pd2Pt, optimized geometry
# - crystal system = orthorhombic
# - raw total energy (eV per atom) = -5.43
data_LaGa2Pd2Pt
_cell_length_a 5.653
_cell_length_b 9.796
_cell_length_c 4.054
_cell_angle_alpha 90.00
_cell_angle_beta 90.00
_cell_angle_gamma 90.00
_space_group_name_H-M_alt 'C m m m'
_space_group_IT_number 65
_space_group_name_Hall '-C 2 2'
loop_
_atom_site_label
_atom_site_type_symbol
_atom_site_fract_x
_atom_site_fract_y
_atom_site_fract_z
La1 La 0.000 0.000 0.000
Ga1 Ga 0.000 0.334 0.000
Pd1 Pd 0.250 0.250 0.500
Pt1 Pt 0.000 0.500 0.500

***

# PBE La2GaSnPd4, optimized geometry
# - crystal system = trigonal
# - raw total energy (eV per atom) = -5.55
data_La2GaSnPd4
_cell_length_a 4.5877
_cell_length_b 4.5877
_cell_length_c 9.5297
_cell_angle_alpha 90.00
_cell_angle_beta 90.00
_cell_angle_gamma 120.00
_space_group_name_H-M_alt 'P -3 m 1'
_space_group_IT_number 164
_space_group_name_Hall '-P 3 2"'
loop_
_atom_site_label
_atom_site_type_symbol
_atom_site_fract_x
_atom_site_fract_y
_atom_site_fract_z
La1 La 0.3333 0.6667 0.2541
Ga1 Ga 0.0000 0.0000 0.5000
Sn1 Sn 0.0000 0.0000 0.0000
Pd1 Pd 0.3333 0.6667 0.5691
Pd2 Pd 0.3333 0.6667 0.9206

***

# PBE LaTbGa2Pd4, optimized geometry
# - crystal system = hexagonal
# - raw total energy (eV per atom) = -5.41
data_LaTbGa2Pd4
_cell_length_a 4.4530
_cell_length_b 4.4530
_cell_length_c 9.3082
_cell_angle_alpha 90.00
_cell_angle_beta 90.00
_cell_angle_gamma 120.00
_space_group_name_H-M_alt 'P -6 m 2'
_space_group_IT_number 187
_space_group_name_Hall 'P -6 2'
loop_
_atom_site_label
_atom_site_type_symbol
_atom_site_fract_x
_atom_site_fract_y
_atom_site_fract_z
La1 La 0.0000 0.0000 0.0000
Tb1 Tb 0.3333 0.6667 0.5000
Ga1 Ga 0.6667 0.3333 0.2602
Pd1 Pd 0.0000 0.0000 0.3348
Pd2 Pd 0.3333 0.6667 0.1835

***

# PBE LaYGa2Pd4, optimized geometry
# - crystal system = hexagonal
# - raw total energy (eV per atom) = -5.64
data_LaYGa2Pd4
_cell_length_a 4.4477
_cell_length_b 4.4477
_cell_length_c 9.2901
_cell_angle_alpha 90.00
_cell_angle_beta 90.00
_cell_angle_gamma 120.00
_space_group_name_H-M_alt 'P -6 m 2'
_space_group_IT_number 187
_space_group_name_Hall 'P -6 2'
loop_
_atom_site_label
_atom_site_type_symbol
_atom_site_fract_x
_atom_site_fract_y
_atom_site_fract_z
La1 La 0.0000 0.0000 0.0000
Y1 Y 0.3333 0.6667 0.5000
Ga1 Ga 0.6667 0.3333 0.2620
Pd1 Pd 0.0000 0.0000 0.3340
Pd2 Pd 0.3333 0.6667 0.1811

***

# PBE LaPmGa4, optimized geometry
# - crystal system = hexagonal
# - raw total energy (eV per atom) = -4.33
data_LaPmGa4
_cell_length_a 4.2891
_cell_length_b 4.2891
_cell_length_c 8.6978
_cell_angle_alpha 90.00
_cell_angle_beta 90.00
_cell_angle_gamma 120.00
_space_group_name_H-M_alt 'P 6/m m m'
_space_group_IT_number 191
_space_group_name_Hall '-P 6 2'
loop_
_atom_site_label
_atom_site_type_symbol
_atom_site_fract_x
_atom_site_fract_y
_atom_site_fract_z
La1 La 0.0000 0.0000 0.0000
Pm1 Pm 0.0000 0.0000 0.5000
Ga1 Ga 0.3333 0.6667 0.2567

***

# PBE LaPm2Ga6, optimized geometry
# - crystal system = monoclinic
# - raw total energy (eV per atom) = -4.00
data_LaPm2Ga6
_cell_length_a 14.521
_cell_length_b 4.447
_cell_length_c 7.338
_cell_angle_alpha 90.00
_cell_angle_beta 112.30
_cell_angle_gamma 90.00
_space_group_name_H-M_alt 'C 1 2 1'
_space_group_IT_number 5
_space_group_name_Hall 'C 2y'
loop_
_atom_site_label
_atom_site_type_symbol
_atom_site_fract_x
_atom_site_fract_y
_atom_site_fract_z
La1 La 0.000 0.000 0.000
Pm1 Pm 0.231 0.999 0.795
Ga1 Ga 0.090 0.500 0.797
Ga2 Ga 0.097 0.499 0.436
Ga3 Ga 0.186 0.999 0.366

***

Total magnetization across the listed records, respectively: 0.04, 0.00, 0.00, 0.01, 0.01, 0.00, 0.00, 0.04 μB per cell.